Compound: Zr2CoOs
Source: Alexandria via LeMat-Bulk
Functional: PBE-GGA
Structure: relaxed

a b c (Å): 7.991 7.991 7.991
angles (deg): 23.42 23.42 23.42
Atoms (fractional coordinates):
Co1 0.250 0.250 0.250
Os1 0.750 0.750 0.750
Zr1 0.996 0.996 0.996
Zr2 0.504 0.504 0.504

Calculated values
Density of states at the Fermi level   4.37 states/eV/f.u.
Calculated volume   70.8 Å³/cell
Crystal system   trigonal
Excess energy over the best structure of this formula in the dataset   0.449 eV per atom
Symmetry   R-3m
Total DFT energy (no corrections)   -8.829 eV per atom
ΔH_f (0 K)   28 meV per atom


Compound: ZrCo2Os
Source: Alexandria via LeMat-Bulk
Functional: PBE-GGA
Structure: relaxed

a b c (Å): 4.631 4.631 4.663
angles (deg): 78.74 78.74 35.33
Atoms (fractional coordinates):
Co1 0.010 0.010 0.987
Co2 0.749 0.749 0.725
Os1 0.488 0.488 0.562
Zr1 0.253 0.253 0.226

Calculated values
Density of states at the Fermi level   4.00 states/eV/f.u.
Calculated volume   56.6 Å³/cell
Crystal system   monoclinic
Excess energy over the best structure of this formula in the dataset   0.087 eV per atom
Symmetry   Cm
Total DFT energy (no corrections)   -8.480 eV per atom
ΔH_f (0 K)   17 meV per atom


Compound: ZrCoOs
Source: Alexandria via LeMat-Bulk
Functional: PBE-GGA
Structure: relaxed

a b c (Å): 5.395 4.281 8.120
angles (deg): 90.00 100.70 90.00
Atoms (fractional coordinates):
Co1 0.324 0.000 0.184
Co2 0.676 0.000 0.816
Co3 0.324 0.500 0.684
Co4 0.676 0.500 0.316
Os1 0.500 0.000 0.500
Os2 0.500 0.500 0.000
Os3 0.000 0.500 0.000
Os4 0.000 0.000 0.500
Zr1 0.205 0.000 0.851
Zr2 0.795 0.000 0.149
Zr3 0.205 0.500 0.351
Zr4 0.795 0.500 0.649

Calculated values
Density of states at the Fermi level   2.55 states/eV/f.u.
Calculated volume   184.3 Å³/cell
Crystal system   monoclinic
Excess energy over the best structure of this formula in the dataset   0.213 eV per atom
Symmetry   C2/m
Total DFT energy (no corrections)   -9.117 eV per atom
ΔH_f (0 K)   -155 meV per atom


Compound: CoP
Source: Alexandria via LeMat-Bulk
Functional: PBE-GGA
Structure: relaxed

a b c (Å): 2.720 10.629 5.787
angles (deg): 90.00 90.00 90.00
Site moments in Bohr magnetons follow the coordinates.
Atoms (fractional coordinates):
Co1 0.000 0.305 0.895  0.11
Co2 0.000 0.695 0.895  0.11
Co3 0.000 0.805 0.395  0.11
Co4 0.000 0.195 0.395  0.11
Co5 0.500 0.000 0.539  0.12
Co6 0.500 0.500 0.039  0.12
P1 0.500 0.825 0.718  0.00
P2 0.500 0.175 0.718  0.00
P3 0.500 0.325 0.218  0.00
P4 0.500 0.675 0.218  0.00
P5 0.000 0.000 0.236  -0.01
P6 0.000 0.500 0.736  -0.01

Calculated values
Density of states at the Fermi level   1.63 states/eV/f.u.
Calculated volume   167.3 Å³/cell
Crystal system   orthorhombic
Symmetry   Amm2
Total DFT energy (no corrections)   -6.548 eV per atom
ΔH_f (0 K)   -290 meV per atom


Compound: CoP5
Source: Alexandria via LeMat-Bulk
Functional: PBE-GGA
Structure: relaxed

a b c (Å): 2.483 2.483 14.997
angles (deg): 90.00 90.00 90.00
Site moments in Bohr magnetons follow the coordinates.
Atoms (fractional coordinates):
Co1 0.500 0.500 0.000  0.56
P1 0.000 0.000 0.892  0.01
P2 0.000 0.000 0.108  0.01
P3 0.500 0.500 0.668  0.00
P4 0.500 0.500 0.332  0.00
P5 0.000 0.000 0.500  0.00

Calculated values
Density of states at the Fermi level   3.48 states/eV/f.u.
Calculated volume   92.5 Å³/cell
Crystal system   tetragonal
Excess energy over the best structure of this formula in the dataset   0.410 eV per atom
Symmetry   P4/mmm
Total DFT energy (no corrections)   -5.295 eV per atom
ΔH_f (0 K)   397 meV per atom


Compound: CoP
Source: Alexandria via LeMat-Bulk
Functional: PBE-GGA
Structure: relaxed

a b c (Å): 6.084 6.084 6.084
angles (deg): 90.00 90.00 90.00
Atoms (fractional coordinates):
Co1 0.250 0.500 0.000
Co2 0.750 0.500 0.000
Co3 0.500 0.000 0.250
Co4 0.500 0.000 0.750
Co5 0.000 0.250 0.500
Co6 0.000 0.750 0.500
P1 0.250 0.000 0.500
P2 0.750 0.000 0.500
P3 0.000 0.500 0.250
P4 0.000 0.500 0.750
P5 0.500 0.250 0.000
P6 0.500 0.750 0.000

Calculated values
Density of states at the Fermi level   1.16 states/eV/f.u.
Calculated volume   225.2 Å³/cell
Crystal system   cubic
Symmetry   Pm-3n
Total DFT energy (no corrections)   -6.292 eV per atom
ΔH_f (0 K)   -35 meV per atom


Compound: CoP
Source: Alexandria via LeMat-Bulk
Functional: PBE-GGA
Structure: relaxed

a b c (Å): 4.189 4.189 6.066
angles (deg): 73.51 73.51 42.28
Atoms (fractional coordinates):
Co1 0.045 0.045 0.994
Co2 0.317 0.317 0.338
Co3 0.369 0.369 0.733
P1 0.671 0.671 0.661
P2 0.012 0.012 0.395
P3 0.753 0.753 0.045

Calculated values
Density of states at the Fermi level   1.48 states/eV/f.u.
Calculated volume   68.2 Å³/cell
Crystal system   monoclinic
Symmetry   Cm
Total DFT energy (no corrections)   -6.510 eV per atom
ΔH_f (0 K)   -252 meV per atom


Compound: CoP
Source: Alexandria via LeMat-Bulk
Functional: PBE-GGA
Structure: relaxed

a b c (Å): 5.063 5.063 5.063
angles (deg): 42.59 42.59 42.59
Site moments in Bohr magnetons follow the coordinates.
Atoms (fractional coordinates):
Co1 0.392 0.392 0.392  0.25
Co2 0.608 0.608 0.608  0.25
P1 0.085 0.085 0.085  0.01
P2 0.915 0.915 0.915  0.01

Calculated values
Density of states at the Fermi level   1.74 states/eV/f.u.
Calculated volume   53.8 Å³/cell
Crystal system   trigonal
Symmetry   R-3m
Total DFT energy (no corrections)   -6.266 eV per atom
ΔH_f (0 K)   -8 meV per atom


Compound: Co8P
Source: Alexandria via LeMat-Bulk
Functional: PBE-GGA
Structure: relaxed

a b c (Å): 5.543 5.543 5.543
angles (deg): 95.75 95.75 143.10
Site moments in Bohr magnetons follow the coordinates.
Atoms (fractional coordinates):
Co1 0.668 0.332 0.000  1.46
Co2 0.332 0.668 0.000  1.46
Co3 0.000 0.664 0.664  1.52
Co4 0.332 0.332 0.665  1.46
Co5 0.664 0.000 0.664  1.52
Co6 0.668 0.668 0.335  1.46
Co7 0.000 0.336 0.336  1.52
Co8 0.336 0.000 0.336  1.52
P1 0.000 0.000 0.000  -0.03

Calculated values
Density of states at the Fermi level   9.51 states/eV/f.u.
Calculated volume   97.0 Å³/cell
Crystal system   tetragonal
Symmetry   I4/mmm
Total DFT energy (no corrections)   -6.973 eV per atom
ΔH_f (0 K)   -56 meV per atom


Compound: CoP
Source: Alexandria via LeMat-Bulk
Functional: PBE-GGA
Structure: relaxed

a b c (Å): 4.055 4.055 4.055
angles (deg): 60.00 60.00 60.00
Site moments in Bohr magnetons follow the coordinates.
Atoms (fractional coordinates):
Co1 0.000 0.000 0.000  0.97
Co2 0.250 0.250 0.250  0.97
P1 0.500 0.500 0.500  0.03
P2 0.750 0.750 0.750  0.03

Calculated values
Density of states at the Fermi level   2.52 states/eV/f.u.
Calculated volume   47.1 Å³/cell
Crystal system   cubic
Symmetry   Fd-3m
Total DFT energy (no corrections)   -5.887 eV per atom
ΔH_f (0 K)   371 meV per atom


Compound: CoP
Source: Alexandria via LeMat-Bulk
Functional: PBE-GGA
Structure: relaxed

a b c (Å): 5.337 5.337 4.553
angles (deg): 74.08 74.08 32.68
Atoms (fractional coordinates):
Co1 0.834 0.834 0.268
Co2 0.166 0.166 0.732
Co3 0.500 0.500 0.500
P1 0.500 0.500 0.000
P2 0.831 0.831 0.769
P3 0.169 0.169 0.231

Calculated values
Density of states at the Fermi level   0.48 states/eV/f.u.
Calculated volume   67.1 Å³/cell
Crystal system   monoclinic
Symmetry   C2/m
Total DFT energy (no corrections)   -6.599 eV per atom
ΔH_f (0 K)   -341 meV per atom


Compound: CoP
Source: Alexandria via LeMat-Bulk
Functional: PBE-GGA
Structure: relaxed

a b c (Å): 3.580 3.580 5.365
angles (deg): 90.00 90.00 90.00
Atoms (fractional coordinates):
Co1 0.250 0.750 0.000
Co2 0.750 0.250 0.000
P1 0.250 0.250 0.232
P2 0.750 0.750 0.768

Calculated values
Density of states at the Fermi level   0.61 states/eV/f.u.
Calculated volume   68.8 Å³/cell
Crystal system   tetragonal
Symmetry   P4/nmm
Total DFT energy (no corrections)   -6.566 eV per atom
ΔH_f (0 K)   -308 meV per atom


Compound: CoP3
Source: Alexandria via LeMat-Bulk
Functional: PBE-GGA
Structure: relaxed

a b c (Å): 4.288 4.288 4.288
angles (deg): 125.13 125.13 81.32
Site moments in Bohr magnetons follow the coordinates.
Atoms (fractional coordinates):
Co1 0.000 0.000 0.000  0.52
P1 0.250 0.750 0.500  0.01
P2 0.500 0.500 0.000  0.01
P3 0.750 0.250 0.500  0.01

Calculated values
Density of states at the Fermi level   2.94 states/eV/f.u.
Calculated volume   50.8 Å³/cell
Crystal system   tetragonal
Excess energy over the best structure of this formula in the dataset   0.985 eV per atom
Symmetry   I4/mmm
Total DFT energy (no corrections)   -5.343 eV per atom
ΔH_f (0 K)   491 meV per atom


Compound: CoP3
Source: Alexandria via LeMat-Bulk
Functional: PBE-GGA
Structure: relaxed

a b c (Å): 5.375 5.382 10.175
angles (deg): 90.00 90.00 90.00
Atoms (fractional coordinates):
P1 0.133 0.011 0.750
P2 0.633 0.489 0.250
P3 0.367 0.511 0.750
P4 0.867 0.989 0.250
P5 0.631 0.249 0.858
P6 0.131 0.251 0.142
P7 0.869 0.749 0.642
P8 0.369 0.751 0.358
P9 0.369 0.751 0.142
P10 0.869 0.749 0.858
P11 0.131 0.251 0.358
P12 0.631 0.249 0.642
Co1 0.522 0.891 0.750
Co2 0.022 0.609 0.250
Co3 0.978 0.391 0.750
Co4 0.478 0.109 0.250

Calculated values
Density of states at the Fermi level   0.77 states/eV/f.u.
Calculated volume   294.4 Å³/cell
Crystal system   orthorhombic
Excess energy over the best structure of this formula in the dataset   0.354 eV per atom
Symmetry   Pnma
Total DFT energy (no corrections)   -5.974 eV per atom
ΔH_f (0 K)   -141 meV per atom


Compound: CoP3
Source: Alexandria via LeMat-Bulk
Functional: PBE-GGA
Structure: relaxed

a b c (Å): 5.960 5.960 5.960
angles (deg): 155.24 133.05 53.79
Site moments in Bohr magnetons follow the coordinates.
Atoms (fractional coordinates):
Co1 0.919 0.000 0.919  0.36
P1 0.541 0.500 0.041  0.00
P2 0.047 0.361 0.687  0.01
P3 0.326 0.639 0.687  0.01

Calculated values
Density of states at the Fermi level   2.25 states/eV/f.u.
Calculated volume   64.5 Å³/cell
Crystal system   orthorhombic
Excess energy over the best structure of this formula in the dataset   0.467 eV per atom
Symmetry   Imm2
Total DFT energy (no corrections)   -5.862 eV per atom
ΔH_f (0 K)   -28 meV per atom


Compound: CoP4
Source: Alexandria via LeMat-Bulk
Functional: PBE-GGA
Structure: relaxed

a b c (Å): 4.325 4.325 4.325
angles (deg): 90.00 90.00 90.00
Atoms (fractional coordinates):
P1 0.000 0.000 0.000
P2 0.500 0.000 0.500
P3 0.000 0.500 0.500
P4 0.500 0.500 0.000
Co1 0.500 0.500 0.500

Calculated values
Density of states at the Fermi level   4.77 states/eV/f.u.
Calculated volume   80.9 Å³/cell
Crystal system   cubic
Symmetry   Pm-3m
Total DFT energy (no corrections)   -5.018 eV per atom
ΔH_f (0 K)   731 meV per atom


Compound: CoP
Source: Alexandria via LeMat-Bulk
Functional: PBE-GGA
Structure: relaxed

a b c (Å): 3.779 3.779 3.779
angles (deg): 42.43 42.43 42.43
Atoms (fractional coordinates):
Co1 0.000 0.000 0.000
P1 0.500 0.500 0.500

Calculated values
Density of states at the Fermi level   0.89 states/eV/f.u.
Calculated volume   22.2 Å³/cell
Crystal system   trigonal
Symmetry   R-3m
Total DFT energy (no corrections)   -6.487 eV per atom
ΔH_f (0 K)   -229 meV per atom


Compound: CoP4
Source: Alexandria via LeMat-Bulk
Functional: PBE-GGA
Structure: relaxed

a b c (Å): 4.712 4.712 4.712
angles (deg): 121.93 121.93 86.69
Site moments in Bohr magnetons follow the coordinates.
Atoms (fractional coordinates):
Co1 0.000 0.000 0.000  0.98
P1 0.750 0.250 0.500  0.00
P2 0.250 0.750 0.500  0.00
P3 0.673 0.673 0.000  -0.01
P4 0.327 0.327 0.000  -0.01

Calculated values
Density of states at the Fermi level   4.88 states/eV/f.u.
Calculated volume   71.7 Å³/cell
Crystal system   tetragonal
Symmetry   I4/mmm
Total DFT energy (no corrections)   -5.301 eV per atom
ΔH_f (0 K)   448 meV per atom


Compound: CoP
Source: Alexandria via LeMat-Bulk
Functional: PBE-GGA
Structure: relaxed

a b c (Å): 3.973 2.818 5.039
angles (deg): 90.00 113.36 90.00
Atoms (fractional coordinates):
Co1 0.113 0.000 0.300
Co2 0.113 0.500 0.800
P1 0.728 0.000 0.508
P2 0.728 0.500 0.008

Calculated values
Density of states at the Fermi level   1.28 states/eV/f.u.
Calculated volume   51.8 Å³/cell
Crystal system   monoclinic
Symmetry   Cm
Total DFT energy (no corrections)   -6.476 eV per atom
ΔH_f (0 K)   -218 meV per atom


Compound: CoP3
Source: Alexandria via LeMat-Bulk
Functional: PBE-GGA
Structure: relaxed

a b c (Å): 3.615 5.488 8.078
angles (deg): 90.00 90.00 90.00
Atoms (fractional coordinates):
Co1 0.000 0.636 0.000
Co2 0.500 0.364 0.500
P1 0.500 0.397 0.000
P2 0.000 0.603 0.500
P3 0.000 0.237 0.359
P4 0.000 0.237 0.641
P5 0.500 0.763 0.859
P6 0.500 0.763 0.141

Calculated values
Density of states at the Fermi level   3.89 states/eV/f.u.
Calculated volume   160.3 Å³/cell
Crystal system   orthorhombic
Excess energy over the best structure of this formula in the dataset   0.649 eV per atom
Symmetry   Pmmn
Total DFT energy (no corrections)   -5.679 eV per atom
ΔH_f (0 K)   155 meV per atom